(1)
DFT (PBE-GGA) results for a geometry-optimized BeTlAg2 structure.

Properties
Crystal system: monoclinic
M_tot (μB per atom): 0.000
Energy relative to the lowest polymorph listed for this composition (meV/atom): 121.3
Volume (Å³/cell): 73
Energy of formation (eV/atom): 0.351

Lattice parameters (Å, degrees): 3.179 4.232 5.557 90.00 102.83 90.00
Space group P2/m (No. 10)
Asymmetric unit:
1 Be 0.000 0.000 0.000 (multiplicity 1)
2 Tl 0.000 0.000 0.500 (multiplicity 1)
3 Ag 0.340 0.500 0.213 (multiplicity 2)

***

(2)
DFT (PBE-GGA) results for a geometry-optimized BeTlAg2 structure.

Properties
Crystal system: monoclinic
M_tot (μB per atom): 0.000
Energy relative to the lowest polymorph listed for this composition (meV/atom): 56.8
Volume (Å³/cell): 145
Energy of formation (eV/atom): 0.286

Lattice parameters (Å, degrees): 10.690 3.008 5.114 90.00 118.36 90.00
Space group C2/m (No. 12)
Asymmetric unit:
1 Be 0.000 0.000 0.000 (multiplicity 2)
2 Tl 0.000 0.500 0.500 (multiplicity 2)
3 Ag 0.207 0.500 0.207 (multiplicity 4)

***

(3)
DFT (PBE-GGA) results for a geometry-optimized BeTlAg2 structure.

Properties
Crystal system: orthorhombic
M_tot (μB per atom): 0.000
Energy relative to the lowest polymorph listed for this composition (meV/atom): 50.4
Volume (Å³/cell): 73
Energy of formation (eV/atom): 0.280

Lattice parameters (Å, degrees): 3.161 3.402 6.803 90.00 90.00 90.00
Space group Pmm2 (No. 25)
Asymmetric unit:
1 Be 0.000 0.000 0.000 (multiplicity 1)
2 Tl 0.500 0.500 0.316 (multiplicity 1)
3 Ag 0.000 0.000 0.622 (multiplicity 1)
4 Ag 0.500 0.500 0.882 (multiplicity 1)

***

- What is the M_tot in the first record?
  0.000 μB per atom

***

- What is the M_tot in the second record?
  0.000 μB per atom